Compound: Tc2MoOs
Source: Alexandria via LeMat-Bulk
Functional: GGA-PBE
Structure: optimized geometry

## Properties
volume	59.5	Å³/cell
formation enthalpy at 0 K	0.090	eV/atom

Lattice parameters (Å, degrees): 4.796 4.796 4.796 132.11 132.11 70.05
Element x y z (fractional)
Tc 0.250 0.750 0.500
Tc 0.750 0.250 0.500
Mo 0.000 0.000 0.000
Os 0.500 0.500 0.000

Compound: Mg2HPt
Source: Alexandria via LeMat-Bulk
Functional: GGA-PBE
Structure: optimized geometry

## Properties
volume	113.9	Å³/cell

Lattice parameters (Å, degrees): 5.289 5.289 5.289 108.89 108.89 110.64
Element x y z (fractional)
Mg 0.041 0.125 0.416
Mg 0.375 0.959 0.084
Mg 0.709 0.625 0.584
Mg 0.875 0.291 0.916
H 0.000 0.000 0.000
H 0.750 0.250 0.500
Pt 0.250 0.750 0.500
Pt 0.500 0.500 0.000

Compound: SiRh3I
Source: Alexandria via LeMat-Bulk
Functional: GGA-PBE
Structure: optimized geometry

## Properties
volume	113.0	Å³/cell
E_form (uncorrected)	1318	meV/atom

Lattice parameters (Å, degrees): 4.835 4.835 4.835 90.00 90.00 90.00
Element x y z (fractional)
Si 0.000 0.000 0.000
Rh 0.000 0.500 0.500
Rh 0.500 0.000 0.500
Rh 0.500 0.500 0.000
I 0.500 0.500 0.500

Compound: PtAu2
Source: Alexandria via LeMat-Bulk
Functional: GGA-PBE
Structure: optimized geometry

## Properties
volume	111.4	Å³/cell
formation enthalpy at 0 K	0.185	eV/atom

Lattice parameters (Å, degrees): 5.290 5.290 5.290 104.77 104.77 119.35
Element x y z (fractional)
Pt 0.250 0.250 0.000
Pt 0.750 0.750 0.000
Au 0.156 0.656 0.813
Au 0.344 0.156 0.500
Au 0.656 0.844 0.500
Au 0.844 0.344 0.187

no.,DOS at the Fermi energy (states/eV/f.u.),distance to the lowest polymorph of the same formula (eV per atom),total magnetic moment (μB per cell)
1,4.4,0.026,0.0
2,1.2,0.000,0.0
3,6.4,0.943,0.7
4,2.3,0.158,0.0